No. 1
VASP calculation (PBE-GGA) on CeLuOsRu after structural relaxation.

```
data_CeLuOsRu
_chemical_formula_sum 'Ce4 Lu4 Os4 Ru4'
_symmetry_space_group_name_H-M 'F -4 3 m'
_symmetry_Int_Tables_number 216
_symmetry_space_group_name_Hall 'F -4 2 3'
_cell_length_a 6.803
_cell_length_b 6.803
_cell_length_c 6.803
_cell_angle_alpha 90.00
_cell_angle_beta 90.00
_cell_angle_gamma 90.00
loop_
_atom_site_label
_atom_site_type_symbol
_atom_site_fract_x
_atom_site_fract_y
_atom_site_fract_z
Ce1 Ce 0.000 0.000 0.000
Lu1 Lu 0.000 0.000 0.500
Os1 Os 0.250 0.250 0.250
Ru1 Ru 0.250 0.250 0.750
```

Formation energy   -0.3135 eV per atom

No. 2
VASP calculation (PBE-GGA) on Y2CrP after structural relaxation.

```
data_Y2CrP
_chemical_formula_sum 'Y8 Cr4 P4'
_symmetry_space_group_name_H-M 'C 1 m 1'
_symmetry_Int_Tables_number 8
_symmetry_space_group_name_Hall 'C -2y'
_cell_length_a 11.067
_cell_length_b 3.976
_cell_length_c 8.363
_cell_angle_alpha 90.00
_cell_angle_beta 98.99
_cell_angle_gamma 90.00
loop_
_atom_site_label
_atom_site_type_symbol
_atom_site_fract_x
_atom_site_fract_y
_atom_site_fract_z
Y1 Y 0.000 0.000 0.000
Y2 Y 0.051 0.000 0.457
Y3 Y 0.240 0.500 0.232
Y4 Y 0.372 0.000 0.667
Cr1 Cr 0.194 0.500 0.835
Cr2 Cr 0.275 0.000 0.977
P1 P 0.215 0.500 0.553
P2 P 0.437 0.000 0.230
```

Formation energy   -0.5423 eV per atom

No. 3
VASP calculation (PBE-GGA) on Rb2BaPBr6 after structural relaxation.

```
data_Rb2BaPBr6
_chemical_formula_sum 'Rb4 Ba2 P2 Br12'
_symmetry_space_group_name_H-M 'I 4/m m m'
_symmetry_Int_Tables_number 139
_symmetry_space_group_name_Hall '-I 4 2'
_cell_length_a 8.479
_cell_length_b 8.479
_cell_length_c 11.399
_cell_angle_alpha 90.00
_cell_angle_beta 90.00
_cell_angle_gamma 90.00
loop_
_atom_site_label
_atom_site_type_symbol
_atom_site_fract_x
_atom_site_fract_y
_atom_site_fract_z
Rb1 Rb 0.000 0.500 0.250
Ba1 Ba 0.000 0.000 0.000
P1 P 0.000 0.000 0.500
Br1 Br 0.000 0.000 0.277
Br2 Br 0.238 0.238 0.500
```

ΔE_f (raw)   -1.178 eV per atom

No. 4
VASP calculation (PBE-GGA) on Cu2SbBr6 after structural relaxation.

```
data_Cu2SbBr6
_chemical_formula_sum 'Cu8 Sb4 Br24'
_symmetry_space_group_name_H-M 'C 1 2/c 1'
_symmetry_Int_Tables_number 15
_symmetry_space_group_name_Hall '-C 2yc'
_cell_length_a 14.753
_cell_length_b 13.691
_cell_length_c 7.430
_cell_angle_alpha 90.00
_cell_angle_beta 112.25
_cell_angle_gamma 90.00
loop_
_atom_site_label
_atom_site_type_symbol
_atom_site_fract_x
_atom_site_fract_y
_atom_site_fract_z
Cu1 Cu 0.222 0.036 0.294
Sb1 Sb 0.000 0.396 0.250
Br1 Br 0.115 0.277 0.180
Br2 Br 0.122 0.404 0.662
Br3 Br 0.125 0.006 0.962
```

ΔE_f (raw)   -0.410 eV per atom
Distance to the lowest polymorph of the same formula   0.02 eV/f.u.

No. 5
VASP calculation (PBE-GGA) on CdHgRh2 after structural relaxation.

```
data_CdHgRh2
_chemical_formula_sum 'Cd3 Hg3 Rh6'
_symmetry_space_group_name_H-M 'R 3 m'
_symmetry_Int_Tables_number 160
_symmetry_space_group_name_Hall 'R 3 -2"'
_cell_length_a 2.9328
_cell_length_b 2.9328
_cell_length_c 28.4645
_cell_angle_alpha 90.00
_cell_angle_beta 90.00
_cell_angle_gamma 120.00
loop_
_atom_site_label
_atom_site_type_symbol
_atom_site_fract_x
_atom_site_fract_y
_atom_site_fract_z
Cd1 Cd 0.0000 0.0000 0.0000
Hg1 Hg 0.0000 0.0000 0.7638
Rh1 Rh 0.0000 0.0000 0.2524
Rh2 Rh 0.0000 0.0000 0.5140
```

Formation energy   0.1846 eV per atom

No. 6
VASP calculation (PBE-GGA) on ScAg2F6 after structural relaxation.

```
data_ScAg2F6
_chemical_formula_sum 'Sc2 Ag4 F12'
_symmetry_space_group_name_H-M 'C 1 2/m 1'
_symmetry_Int_Tables_number 12
_symmetry_space_group_name_Hall '-C 2y'
_cell_length_a 12.080
_cell_length_b 3.880
_cell_length_c 6.985
_cell_angle_alpha 90.00
_cell_angle_beta 124.36
_cell_angle_gamma 90.00
loop_
_atom_site_label
_atom_site_type_symbol
_atom_site_fract_x
_atom_site_fract_y
_atom_site_fract_z
Sc1 Sc 0.000 0.000 0.000
Ag1 Ag 0.178 0.000 0.711
F1 F 0.021 0.000 0.327
F2 F 0.105 0.500 0.186
F3 F 0.194 0.000 0.076
```

ΔE_f (raw)   -2.250 eV per atom
Distance to the lowest polymorph of the same formula   0.71 eV/f.u.

No. 7
VASP calculation (PBE-GGA) on PrDy2Y5Er after structural relaxation.

```
data_PrDy2Y5Er
_chemical_formula_sum 'Pr4 Dy8 Y20 Er4'
_symmetry_space_group_name_H-M 'I 4/m c m'
_symmetry_Int_Tables_number 140
_symmetry_space_group_name_Hall '-I 4 2c'
_cell_length_a 8.975
_cell_length_b 8.975
_cell_length_c 14.760
_cell_angle_alpha 90.00
_cell_angle_beta 90.00
_cell_angle_gamma 90.00
loop_
_atom_site_label
_atom_site_type_symbol
_atom_site_fract_x
_atom_site_fract_y
_atom_site_fract_z
Pr1 Pr 0.000 0.000 0.250
Dy1 Dy 0.112 0.388 0.000
Y1 Y 0.000 0.000 0.000
Y2 Y 0.205 0.295 0.368
Er1 Er 0.000 0.500 0.250
```

Formation energy   0.2758 eV per atom

No. 8
VASP calculation (PBE-GGA) on LiHf2TcAs after structural relaxation.

```
data_LiHf2TcAs
_chemical_formula_sum 'Li1 Hf2 Tc1 As1'
_symmetry_space_group_name_H-M 'P 4/m m m'
_symmetry_Int_Tables_number 123
_symmetry_space_group_name_Hall '-P 4 2'
_cell_length_a 5.015
_cell_length_b 5.015
_cell_length_c 4.762
_cell_angle_alpha 90.00
_cell_angle_beta 90.00
_cell_angle_gamma 90.00
loop_
_atom_site_label
_atom_site_type_symbol
_atom_site_fract_x
_atom_site_fract_y
_atom_site_fract_z
Li1 Li 0.000 0.000 0.000
Hf1 Hf 0.000 0.500 0.500
Tc1 Tc 0.500 0.500 0.500
As1 As 0.500 0.500 0.000
```

Formation energy   0.3948 eV per atom

In the order shown, the computed Fermi-level density of states values come out to 15.6; 14.4; 10.7; 14.9; 16.3; 2.4; 48.2; 5.6 states/eV per cell.